1.
The following is a DFT calculation (PBE) of a relaxed structure of Fe2Br.

Distance to the lowest polymorph of the same formula, meV per atom: 242
Uncorrected formation energy, kJ per mole of atoms: 28.5
DOS(E_F), states/eV/f.u.: 2.67

Cell lengths 3.973, 18.983, 3.132 Å; angles 90.00, 90.00, 90.00 degrees
Space group Cmcm (No. 63)
Asymmetric unit:
Fe 0.000 0.161 0.250 x4
Fe 0.000 0.265 0.750 x4
Br 0.000 0.401 0.250 x4

=====

2.
The following is a DFT calculation (PBE) of a relaxed structure of FeBr2.

Uncorrected formation energy, kJ per mole of atoms: -39.9
DOS(E_F), states/eV/f.u.: 2.74

Cell lengths 3.7179, 3.7179, 6.8472 Å; angles 90.00, 90.00, 120.00 degrees
Space group P-3m1 (No. 164)
Asymmetric unit:
Fe 0.0000 0.0000 0.0000 x1
Br 0.3333 0.6667 0.2195 x2

=====

3.
The following is a DFT calculation (PBE) of a relaxed structure of FeBr2.

Uncorrected formation energy, kJ per mole of atoms: 5.6
DOS(E_F), states/eV/f.u.: 3.21

Cell lengths 6.524, 6.524, 6.201 Å; angles 90.00, 90.00, 90.00 degrees
Space group I4/mcm (No. 140)
Asymmetric unit:
Fe 0.000 0.000 0.250 x4
Br 0.181 0.319 0.000 x8

=====

4.
The following is a DFT calculation (PBE) of a relaxed structure of FeBr.

Uncorrected formation energy, kJ per mole of atoms: 88.6
DOS(E_F), states/eV/f.u.: 1.66

Cell lengths 6.771, 6.771, 6.771 Å; angles 90.00, 90.00, 90.00 degrees
Space group Fd-3m (No. 227, origin choice 2)
Asymmetric unit:
Fe 0.125 0.125 0.125 x8
Br 0.125 0.125 0.625 x8

=====

5.
The following is a DFT calculation (PBE) of a relaxed structure of FeBr.

Uncorrected formation energy, kJ per mole of atoms: 29.1
DOS(E_F), states/eV/f.u.: 1.79

Cell lengths 4.1758, 4.1758, 5.0384 Å; angles 90.00, 90.00, 120.00 degrees
Space group P6_3/mmc (No. 194)
Asymmetric unit:
Fe 0.0000 0.0000 0.0000 x2
Br 0.3333 0.6667 0.2500 x2

=====

6.
The following is a DFT calculation (PBE) of a relaxed structure of FeBr.

Uncorrected formation energy, kJ per mole of atoms: -0.7
DOS(E_F), states/eV/f.u.: 0.58

Cell lengths 13.142, 3.516, 6.446 Å; angles 90.00, 114.84, 90.00 degrees
Space group Cm (No. 8)
Asymmetric unit:
Fe 0.000 0.000 0.000 x2
Fe 0.007 0.500 0.291 x2
Fe 0.141 0.500 0.131 x2
Br 0.006 0.500 0.713 x2
Br 0.187 0.000 0.458 x2
Br 0.344 0.500 0.136 x2

=====

7.
The following is a DFT calculation (PBE) of a relaxed structure of FeBr2.

Uncorrected formation energy, kJ per mole of atoms: -32.5
DOS(E_F), states/eV/f.u.: 1.71

Cell lengths 14.064, 3.490, 7.769 Å; angles 90.00, 92.18, 90.00 degrees
Space group Cm (No. 8)
Asymmetric unit:
Fe 0.000 0.000 0.000 x2
Fe 0.101 0.500 0.302 x2
Br 0.169 0.000 0.064 x2
Br 0.172 0.000 0.510 x2
Br 0.433 0.000 0.813 x2
Br 0.451 0.500 0.295 x2

=====

8.
The following is a DFT calculation (PBE) of a relaxed structure of FeBr.

Uncorrected formation energy, kJ per mole of atoms: 54.9
DOS(E_F), states/eV/f.u.: 2.03

Cell lengths 3.224, 6.256, 4.044 Å; angles 90.00, 90.00, 90.00 degrees
Space group Cmmm (No. 65)
Asymmetric unit:
Fe 0.000 0.000 0.000 x2
Br 0.000 0.500 0.500 x2

=====

9.
The following is a DFT calculation (PBE) of a relaxed structure of FeBr.

Uncorrected formation energy, kJ per mole of atoms: 20.4
DOS(E_F), states/eV/f.u.: 1.17

Cell lengths 3.228, 3.628, 15.700 Å; angles 90.00, 90.00, 90.00 degrees
Space group Imma (No. 74)
Asymmetric unit:
Fe 0.000 0.250 0.191 x4
Br 0.000 0.250 0.620 x4

=====

10.
The following is a DFT calculation (PBE) of a relaxed structure of Fe2Br.

Distance to the lowest polymorph of the same formula, meV per atom: 521
Uncorrected formation energy, kJ per mole of atoms: 55.4
DOS(E_F), states/eV/f.u.: 2.31

Cell lengths 3.153, 3.153, 9.764 Å; angles 90.00, 90.00, 90.00 degrees
Space group I4/mmm (No. 139)
Asymmetric unit:
Fe 0.000 0.000 0.192 x4
Br 0.000 0.000 0.500 x2

=====

11.
The following is a DFT calculation (PBE) of a relaxed structure of FeBr.

Uncorrected formation energy, kJ per mole of atoms: 10.5
DOS(E_F), states/eV/f.u.: 1.14

Cell lengths 10.0282, 10.0282, 3.5923 Å; angles 90.00, 90.00, 120.00 degrees
Space group P6_3/m (No. 176)
Asymmetric unit:
Fe 0.0436 0.4543 0.2500 x6
Br 0.1320 0.7377 0.2500 x6

=====

12.
The following is a DFT calculation (PBE) of a relaxed structure of FeBr.

Uncorrected formation energy, kJ per mole of atoms: 35.0
DOS(E_F), states/eV/f.u.: 1.57

Cell lengths 5.474, 5.474, 5.474 Å; angles 90.00, 90.00, 90.00 degrees
Space group P2_13 (No. 198)
Asymmetric unit:
Fe 0.061 0.061 0.061 x4
Br 0.191 0.691 0.809 x4

=====

13.
The following is a DFT calculation (PBE) of a relaxed structure of FeBr.

Uncorrected formation energy, kJ per mole of atoms: 47.7
DOS(E_F), states/eV/f.u.: 2.80

Cell lengths 6.961, 6.961, 6.961 Å; angles 90.00, 90.00, 90.00 degrees
Space group Pm-3n (No. 223)
Asymmetric unit:
Fe 0.000 0.250 0.500 x6
Br 0.000 0.500 0.250 x6

=====

14.
The following is a DFT calculation (PBE) of a relaxed structure of FeBr.

Uncorrected formation energy, kJ per mole of atoms: 54.8
DOS(E_F), states/eV/f.u.: 4.64

Cell lengths 5.347, 5.347, 5.347 Å; angles 90.00, 90.00, 90.00 degrees
Space group Fm-3m (No. 225)
Asymmetric unit:
Fe 0.000 0.000 0.000 x4
Br 0.000 0.000 0.500 x4

=====

15.
The following is a DFT calculation (PBE) of a relaxed structure of FeBr2.

Uncorrected formation energy, kJ per mole of atoms: -33.2
DOS(E_F), states/eV/f.u.: 0.06

Cell lengths 3.5637, 3.5637, 14.3255 Å; angles 90.00, 90.00, 120.00 degrees
Space group P6_3/mmc (No. 194)
Asymmetric unit:
Fe 0.0000 0.0000 0.2500 x2
Br 0.3333 0.6667 0.1354 x4

=====

16.
The following is a DFT calculation (PBE) of a relaxed structure of Fe4Br.

Distance to the lowest polymorph of the same formula, meV per atom: 0
Uncorrected formation energy, kJ per mole of atoms: 54.0
DOS(E_F), states/eV/f.u.: 3.84

Cell lengths 3.349, 3.349, 14.449 Å; angles 90.00, 90.00, 90.00 degrees
Space group I4/mmm (No. 139)
Asymmetric unit:
Fe 0.000 0.000 0.124 x4
Fe 0.000 0.500 0.250 x4
Br 0.000 0.000 0.500 x2

=====

17.
The following is a DFT calculation (PBE) of a relaxed structure of FeBr2.

Uncorrected formation energy, kJ per mole of atoms: -30.8
DOS(E_F), states/eV/f.u.: 4.19

Cell lengths 6.101, 6.504, 3.754 Å; angles 90.00, 90.00, 90.00 degrees
Space group Pnnm (No. 58)
Asymmetric unit:
Fe 0.000 0.000 0.000 x2
Br 0.232 0.164 0.500 x4

=====

18.
The following is a DFT calculation (PBE) of a relaxed structure of FeBr2.

Uncorrected formation energy, kJ per mole of atoms: -46.3
DOS(E_F), states/eV/f.u.: 0.27

Cell lengths 8.440, 12.207, 5.818 Å; angles 90.00, 133.44, 90.00 degrees
Space group C2/c (No. 15)
Asymmetric unit:
Fe 0.000 0.000 0.250 x4
Br 0.224 0.113 0.224 x8

=====

19.
The following is a DFT calculation (PBE) of a relaxed structure of Fe2Br.

Distance to the lowest polymorph of the same formula, meV per atom: 433
Uncorrected formation energy, kJ per mole of atoms: 46.9
DOS(E_F), states/eV/f.u.: 2.10

Cell lengths 11.427, 5.737, 3.224 Å; angles 90.00, 90.00, 90.00 degrees
Space group Cmcm (No. 63)
Asymmetric unit:
Fe 0.180 0.175 0.250 x8
Br 0.000 0.257 0.750 x4

=====

20.
The following is a DFT calculation (PBE) of a relaxed structure of FeBr.

Uncorrected formation energy, kJ per mole of atoms: -16.7
DOS(E_F), states/eV/f.u.: 1.94

Cell lengths 11.226, 11.226, 3.539 Å; angles 90.00, 90.00, 90.00 degrees
Space group I4/m (No. 87)
Asymmetric unit:
Fe 0.077 0.415 0.000 x8
Br 0.068 0.252 0.500 x8